MnIrO2 | PBE+U | optimized geometry

Cell and atoms, written as extended XYZ:
```
4
Lattice="1.8703 0.0000 5.7703 -0.9351 1.6197 5.7703 -0.9351 -1.6197 5.7703" Properties=species:S:1:pos:R:3 pbc="T T T"
O 0.0000 0.0000 15.3318
O 0.0000 0.0000 1.9790
Ir 0.0000 0.0000 8.6554
Mn 0.0000 0.0000 0.0000
```

## Properties
- Energy above the most stable polymorph in this dataset: 1.97 eV/f.u.
- Magnetic moment: 4.21 μB per formula unit
- Symmetry: No. 166